LiIn2Tc | GGA-PBE | relaxed

a b c (Å): 3.617 3.617 5.768
angles (deg): 90.00 90.00 90.00
Positions (direct):
In1 0.000 0.000 0.950
In2 0.500 0.500 0.280
Li1 0.000 0.000 0.507
Tc1 0.500 0.500 0.762

The value obtained for the formation energy from the elements is 0.231 eV per atom. As for the energy above the most stable polymorph in this dataset: 5.104 kcal/mol of atoms. For the calculated total energy, the calculation gives -4.21 eV per atom. The value obtained for the density of states at the Fermi level is 0.68 states/eV/atom. Its space group is P4mm (99).

Er12Ga2Hg5 | GGA-PBE | relaxed

a b c (Å): 7.610 8.742 9.030
angles (deg): 92.00 90.00 115.80
Positions (direct):
Er1 0.961 0.923 0.168
Er2 0.053 0.657 0.870
Er3 0.604 0.657 0.870
Er4 0.116 0.714 0.437
Er5 0.598 0.714 0.437
Er6 0.477 0.955 0.703
Er7 0.523 0.045 0.297
Er8 0.884 0.286 0.563
Er9 0.402 0.286 0.563
Er10 0.947 0.343 0.130
Er11 0.396 0.343 0.130
Er12 0.039 0.077 0.832
Ga1 0.677 0.000 0.000
Ga2 0.323 0.000 0.000
Hg1 0.274 0.548 0.655
Hg2 0.340 0.681 0.138
Hg3 0.000 0.000 0.500
Hg4 0.660 0.319 0.862
Hg5 0.726 0.452 0.345

The value obtained for the formation energy from the elements is -0.196 eV per atom. For the calculated total energy, the calculation gives -3.48 eV per atom. The value obtained for the density of states at the Fermi level is 1.06 states/eV/atom. Its space group is C2/m (12).

YCoTc2Cl | GGA-PBE | relaxed

a b c (Å): 4.355 4.355 4.943
angles (deg): 90.00 90.00 90.00
Positions (direct):
Y1 0.000 0.000 0.500
Co1 0.500 0.500 0.500
Tc1 0.000 0.500 0.000
Tc2 0.500 0.000 0.000
Cl1 0.000 0.000 0.000

For the calculated total energy, the calculation gives -6.37 eV per atom. Its energy relative to the elements, uncorrected is 0.8573 eV per atom. The value obtained for the density of states at the Fermi level is 1.27 states/eV/atom. Its space group is P4/mmm (123).